Below is an optimized crystal structure of ScCdIr2, with properties calculated at the GGA-PBE level.

Results
V (Å³ per atom): 17.13
Mass density (g/cm3): 13.1
Magnetization (Bohr magnetons per cell): 0.0
Energy of formation from the pure elements (eV per atom): -0.33
D(E_F) (states/eV per cell): 2.3

Cell lengths 5.3547, 5.3547, 4.8113 Å; angles 68.29, 68.29, 32.56 degrees
Sites, in units of the cell vectors:
Cd  0.2660  0.2660  0.1809
Ir  0.0164  0.0164  0.0609
Ir  0.7329  0.7329  0.6936
Sc  0.4846  0.4846  0.5645

---

Below is an optimized crystal structure of SrNiPCl2, with properties calculated at the GGA-PBE level.

Results
V (Å³ per atom): 21.50
Formation energy from raw total energies (eV/atom): -0.79
Mass density (g/cm3): 3.8
Magnetization (Bohr magnetons per cell): 1.4
D(E_F) (states/eV per cell): 3.4

Cell lengths 4.8877, 4.8877, 4.5002 Å; angles 90.00, 90.00, 90.00 degrees
Sites, in units of the cell vectors:
Sr  0.5000  0.5000  0.5000
Cl  0.0000  0.5000  0.0000
Cl  0.5000  0.0000  0.0000
P  0.0000  0.0000  0.5000
Ni  0.0000  0.0000  0.0000

---

Below is an optimized crystal structure of Ho2ErPb3, with properties calculated at the GGA-PBE level.

Results
V (Å³ per atom): 28.00
Mass density (g/cm3): 11.1
Magnetization (Bohr magnetons per cell): 0.0
Energy of formation from the pure elements (eV per atom): -0.48
D(E_F) (states/eV per cell): 4.9

Cell lengths 6.3744, 6.3728, 9.0043 Å; angles 110.72, 100.15, 90.00 degrees
Sites, in units of the cell vectors:
Ho  0.5840  0.5414  0.3334
Ho  0.0840  0.7920  0.3334
Ho  0.9160  0.2080  0.6666
Ho  0.4160  0.4586  0.6666
Er  0.7500  0.1245  0.0000
Er  0.2500  0.8755  0.0000
Pb  0.2500  0.3759  0.0000
Pb  0.7500  0.6241  0.0000
Pb  0.0831  0.2911  0.3328
Pb  0.4169  0.9583  0.6672
Pb  0.5831  0.0417  0.3328
Pb  0.9169  0.7089  0.6672